CsCaTaV2, optimized geometry, DFT GGA-PBE; SG = P4/mmm, No. 123; crystal system = tetragonal
1.0
5.2202 0.0000 0.0000
0.0000 5.5602 0.0000
0.0000 0.0000 5.2202
Cs Ta Ca V
1 1 1 2
direct
0.0000 0.5000 0.0000 Cs
0.5000 0.5000 0.5000 Ta
0.0000 0.0000 0.0000 Ca
0.5000 0.0000 0.0000 V
0.0000 0.0000 0.5000 V



VCu2Ru, optimized geometry, DFT GGA-PBE; SG = I-42d, No. 122; crystal system = tetragonal
1.0
6.8348 0.0000 0.0000
0.0000 6.8348 0.0000
3.4174 3.4174 2.4019
Cu Ru V
4 2 2
direct
0.1286 0.6250 0.2500 Cu
0.8750 0.8714 0.7500 Cu
0.6214 0.1250 0.2500 Cu
0.3750 0.3786 0.7500 Cu
0.7500 0.2500 0.5000 Ru
0.0000 0.0000 0.0000 Ru
0.2500 0.7500 0.5000 V
0.5000 0.5000 0.0000 V



Number 1: ΔE_f 13.1 eV/f.u., total moment 4.8 Bohr magnetons per cell. Number 2: ΔE_f 2.3 eV/f.u., total moment 2.5 Bohr magnetons per cell.